No. 1
## YSc2 (PBE)

Data for crystalline YSc2 at its relaxed geometry.

It has space group P4/nmm (No. 129, origin choice 2), with a = 4.4824 Å, b = 4.4824 Å, c = 8.1147 Å, α = 90.00°, β = 90.00° and γ = 90.00°. The asymmetric unit holds Y at (0.2500, 0.2500, 0.1829), Sc at (0.2500, 0.2500, 0.7825) and Sc at (0.2500, 0.7500, 0.5000).

The volume comes out at 27.2 Å³ per atom. The calculation puts the final energy at -36.95 eV/cell. The formation energy comes out at 0.216 eV/atom. The polymorph energy (0 for the lowest one) is 0.169 eV/atom.

***

No. 2
## GdDyTm2Cd2 (PBE)

Data for crystalline GdDyTm2Cd2 at its relaxed geometry.

It has space group Amm2 (No. 38), with a = 5.3887 Å, b = 3.6242 Å, c = 16.9350 Å, α = 90.00°, β = 90.00° and γ = 90.00°. The asymmetric unit holds Gd at (0.0000, 0.0000, 0.0000), Dy at (0.5000, 0.0000, 0.8223), Tm at (0.0000, 0.0000, 0.6854), Tm at (0.5000, 0.0000, 0.1375), Cd at (0.0000, 0.0000, 0.3405) and Cd at (0.5000, 0.0000, 0.4808).

The volume comes out at 27.6 Å³ per atom. The calculation puts the final energy at -42.69 eV/cell. The formation energy comes out at -0.224 eV/atom.

***

No. 3
## TmCuTePbSe2 (PBE)

Data for crystalline TmCuTePbSe2 at its relaxed geometry.

It has space group Cmcm (No. 63), with a = 4.0883 Å, b = 13.9518 Å, c = 11.0136 Å, α = 90.00°, β = 90.00° and γ = 90.00°. The asymmetric unit holds Tm at (0.0000, 0.0000, 0.0000), Cu at (0.0000, 0.4659, 0.2500), Te at (0.0000, 0.0902, 0.2500), Pb at (0.0000, 0.2209, 0.7500) and Se at (0.0000, 0.3668, 0.0638).

The volume comes out at 26.2 Å³ per atom. The calculation puts the final energy at -109.49 eV/cell.

***

No. 4
## Ag3Se2Cl2O6 (PBE)

Data for crystalline Ag3Se2Cl2O6 at its relaxed geometry.

It has space group C2/m (No. 12), with a = 9.3673 Å, b = 6.5805 Å, c = 7.7637 Å, α = 90.00°, β = 114.32° and γ = 90.00°. The asymmetric unit holds Ag at (0.0000, 0.0000, 0.0000), Ag at (0.0673, 0.5000, 0.7896), Se at (0.1624, 0.0000, 0.7148), Cl at (0.2188, 0.5000, 0.6092), O at (0.0799, 0.1823, 0.8162) and O at (0.1455, 0.5000, 0.1358).

The volume comes out at 16.8 Å³ per atom. The calculation puts the final energy at -108.78 eV/cell.

***

Q: The lowest final energy belongs to which entry?
A: TmCuTePbSe2